No. 1
PBE CaCePt, relaxed; energy above the lowest structure with this stoichiometry = 91 meV per atom; VASP energy = -31.6 eV per cell
1.0
3.7138 0.0000 0.0000
0.8252 6.9573 0.0000
0.0703 1.7638 6.9143
Ca Ce Pt
2 2 2
Cartesian
0.0000 0.0000 0.0000
2.2899 7.5158 3.4769
2.3059 3.7065 0.7974
2.3274 4.1511 4.3707
4.1753 6.0823 5.5246
4.1649 5.2759 2.4308

=====

No. 2
PBE CaCe2Pt, relaxed; energy above the lowest structure with this stoichiometry = 0 meV per atom; VASP energy = -64.1 eV per cell
1.0
4.0346 0.0000 0.0000
-2.0173 3.4940 0.0000
0.0000 0.0000 28.9247
Ca Ce Pt
3 6 3
Cartesian
0.0000 0.0000 0.0000
0.0000 2.3294 19.2831
2.0173 1.1647 9.6415
0.0000 0.0000 16.1204
0.0000 0.0000 22.4152
0.0000 2.3294 6.4789
0.0000 2.3294 12.7736
2.0173 1.1647 3.1320
2.0173 1.1647 25.7620
0.0000 0.0000 4.8012
0.0000 2.3294 24.0843
2.0173 1.1647 14.4428

=====

No. 3
PBE CaCePt, relaxed; energy above the lowest structure with this stoichiometry = 0 meV per atom; VASP energy = -48.2 eV per cell
1.0
4.8911 0.0000 0.0000
0.0000 6.4431 3.7251
0.0000 -6.4431 3.7251
Ca Ce Pt
3 3 3
Cartesian
0.0000 0.0000 0.0000
0.0000 -2.7252 2.7242
0.0000 2.7252 2.7242
2.4455 0.0000 2.4829
2.4455 -1.5730 5.2070
2.4455 1.5730 5.2070
0.0000 0.0000 4.3018
2.4455 -4.2978 4.2984
2.4455 4.2978 4.2984

=====

No. 4
PBE Ca3Ce2Pt4, relaxed; VASP energy = -49.4 eV per cell
1.0
4.8465 0.0000 0.0000
-2.4233 4.1972 0.0000
0.0000 0.0000 11.1440
Ca Ce Pt
3 2 4
Cartesian
0.0000 0.0000 0.0000
0.0000 2.7981 4.3502
2.4233 1.3991 6.7938
0.0000 2.7981 9.0824
2.4233 1.3991 2.0616
0.0000 0.0000 3.0602
0.0000 0.0000 8.0838
0.0000 2.7981 1.2991
2.4233 1.3991 9.8449

=====

| no. | DFT formation energy (eV per atom) | calculated volume (A^3/atom) | total magnetization (μB/atom) |
| --- | --- | --- | --- |
| 1 | -0.61 | 29.8 | 0.44 |
| 2 | -0.37 | 34.0 | 0.74 |
| 3 | -0.70 | 26.1 | 0.38 |
| 4 | -0.82 | 25.2 | 0.00 |